[1]
{"formula": "DySc2CdO", "functional": "PBE", "state": "optimized geometry", "m_tot_mub_per_fu": 0.000, "vol_a3_per_fu": 96, "raw_formation_energy_ev_per_atom": -1.3558, "cell": [[-0.457, 4.525, 1.253], [-3.912, 0.222, -2.228], [-2.196, -1.255, 3.731]], "species": ["Dy", "Sc", "Sc", "Cd", "O"], "fractional_positions": [[0.500, 0.000, 0.000], [0.000, 0.000, 0.500], [0.000, 0.500, 0.000], [0.500, 0.500, 0.500], [0.000, 0.000, 0.000]]}

***

[2]
{"formula": "SrMgCl", "functional": "PBE", "state": "optimized geometry", "m_tot_mub_per_fu": 0.308, "vol_a3_per_fu": 100, "raw_formation_energy_ev_per_atom": -0.6578, "polymorph_energy_ev_per_fu": 0.723, "cell": [[5.206, 0.000, 0.000], [2.603, 4.508, 0.000], [2.603, 1.503, 4.250]], "species": ["Cl", "Mg", "Sr"], "fractional_positions": [[0.750, 0.750, 0.750], [0.000, 0.000, 0.000], [0.500, 0.500, 0.500]]}

***

[3]
{"formula": "Ca2AsO5", "functional": "PBE", "state": "optimized geometry", "m_tot_mub_per_fu": 1.028, "vol_a3_per_fu": 117, "raw_formation_energy_ev_per_atom": -1.9601, "cell": [[-1.666, 3.294, 1.507], [-2.890, -4.848, 2.127], [6.526, -0.370, 8.020]], "species": ["Ca", "Ca", "Ca", "Ca", "As", "As", "O", "O", "O", "O", "O", "O", "O", "O", "O", "O"], "fractional_positions": [[0.859, 0.718, 0.426], [0.859, 0.718, 0.074], [0.141, 0.282, 0.574], [0.141, 0.282, 0.926], [0.836, 0.672, 0.750], [0.164, 0.328, 0.250], [0.949, 0.898, 0.871], [0.949, 0.898, 0.629], [0.272, 0.544, 0.383], [0.272, 0.544, 0.117], [0.699, 0.397, 0.250], [0.301, 0.603, 0.750], [0.728, 0.456, 0.617], [0.728, 0.456, 0.883], [0.051, 0.102, 0.129], [0.051, 0.102, 0.371]]}

***

[4]
{"formula": "EuPuAl2", "functional": "PBE", "state": "optimized geometry", "m_tot_mub_per_fu": 12.751, "e_form_ev_per_atom": -0.1325, "vol_a3_per_fu": 99, "polymorph_energy_ev_per_fu": 0.000, "cell": [[-1.651, -1.939, -2.593], [2.127, -2.844, 0.773], [-5.055, -2.416, 5.025]], "species": ["Eu", "Al", "Al", "Pu"], "fractional_positions": [[0.500, 0.500, 0.500], [0.000, 0.000, 0.769], [0.000, 0.000, 0.231], [0.500, 0.500, 0.000]]}

***

[5]
{"formula": "Pm4Sm2YSc", "functional": "PBE", "state": "optimized geometry", "m_tot_mub_per_fu": 0.000, "e_form_ev_per_atom": 0.0285, "vol_a3_per_fu": 261, "cell": [[5.103, 0.000, 0.000], [0.000, 4.967, 1.089], [0.000, 2.823, 10.906]], "species": ["Pm", "Pm", "Pm", "Pm", "Sm", "Sm", "Y", "Sc"], "fractional_positions": [[0.000, 0.756, 0.744], [0.000, 0.244, 0.256], [0.500, 0.745, 0.255], [0.500, 0.255, 0.745], [0.000, 0.000, 0.000], [0.500, 0.000, 0.500], [0.500, 0.500, 0.000], [0.000, 0.500, 0.500]]}

***

[6]
{"formula": "Cr3TcNi", "functional": "PBE", "state": "optimized geometry", "m_tot_mub_per_fu": 0.180, "e_form_ev_per_atom": 1.7193, "vol_a3_per_fu": 84, "polymorph_energy_ev_per_fu": 1.320, "cell": [[4.382, 0.000, 0.000], [0.000, 4.382, 0.000], [0.000, 0.000, 4.382]], "species": ["Ni", "Tc", "Cr", "Cr", "Cr"], "fractional_positions": [[0.500, 0.500, 0.500], [0.000, 0.000, 0.000], [0.000, 0.500, 0.000], [0.000, 0.000, 0.500], [0.500, 0.000, 0.000]]}

***

> Which formula does entry 5 have?

Pm4Sm2YSc

***

Please write out number 1 again, unchanged.
{"formula": "DySc2CdO", "functional": "PBE", "state": "optimized geometry", "m_tot_mub_per_fu": 0.000, "vol_a3_per_fu": 96, "raw_formation_energy_ev_per_atom": -1.3558, "cell": [[-0.457, 4.525, 1.253], [-3.912, 0.222, -2.228], [-2.196, -1.255, 3.731]], "species": ["Dy", "Sc", "Sc", "Cd", "O"], "fractional_positions": [[0.500, 0.000, 0.000], [0.000, 0.000, 0.500], [0.000, 0.500, 0.000], [0.500, 0.500, 0.500], [0.000, 0.000, 0.000]]}